# 1
The following is a DFT calculation (meta-GGA SCAN) of a crystal of MgCoSe2Br relaxed with PBEsol.

Structure (POSCAR):
```
MgCoSe2Br
1.0
-1.7923 2.0426 3.7490
1.3603 -3.5809 2.6013
4.3160 2.2486 0.8383
Br Se Co Mg
1 2 1 1
direct
0.0000 0.0000 0.5000
0.5000 0.0000 0.0000
0.0000 0.5000 0.0000
0.0000 0.0000 0.0000
0.5000 0.5000 0.5000
```

Output
- M_tot (Bohr magnetons per cell) = 1.69
- formation energy from raw total energies (eV/f.u.) = -0.53

***

# 2
The following is a DFT calculation (meta-GGA SCAN) of a crystal of KReAs2 relaxed with PBEsol.

Structure (POSCAR):
```
KReAs2
1.0
-3.8748 0.0655 -1.0186
0.9848 -0.8122 -3.7982
1.1297 -4.2331 3.3116
Re As K
1 2 1
direct
0.2500 0.7500 0.5000
0.7500 0.2500 0.5000
0.0000 0.0000 0.0000
0.5000 0.5000 0.0000
```

Output
- M_tot (Bohr magnetons per cell) = 2.37
- ΔE to the lowest computed polymorph (eV/atom) = 1.130

***

# 3
The following is a DFT calculation (meta-GGA SCAN) of a crystal of CsTiAsBr2 relaxed with PBEsol.

Structure (POSCAR):
```
CsTiAsBr2
1.0
-1.2450 -4.3238 -1.8906
-1.6849 -1.6184 4.8109
-4.8890 1.8800 -1.0799
Cs Br Ti As
1 2 1 1
direct
0.5000 0.5000 0.5000
0.0000 0.0000 0.5000
0.0000 0.5000 0.0000
0.0000 0.0000 0.0000
0.5000 0.0000 0.0000
```

Output
- M_tot (Bohr magnetons per cell) = 0.00
- formation energy from raw total energies (eV/f.u.) = -5.19